4
Lattice="-1.4337 -3.2461 1.7975 0.2612 -2.0107 -3.4227 3.8030 1.6589 1.6276" Properties=species:S:1:pos:R:3 comment="GGA-PBE TiZnNiIr, relaxed" sg="I-4m2 (119)" formation_energy_mev_per_atom=-558 dos_at_fermi_per_ev_cell=1.62 pbc="T T T"
Ti 0.8916 -2.1078 1.3062
Ni 0.0001 0.0000 0.0000
Zn 1.7390 -1.4900 -1.3039
Ir 3.2167 -0.9694 0.8150